A relaxed LiSbPdRu crystal, computed with PBE-GGA.

Results
* raw formation energy: -0.362 eV/atom
* space group: F-43m, No. 216
* VASP energy: -5.4884 eV per atom

Lattice parameters (Å, degrees): 4.413 4.413 4.413 60.00 60.00 60.00
Sites, in units of the cell vectors:
1 Li 0.000 0.000 0.000
2 Sb 0.500 0.500 0.500
3 Pd 0.250 0.250 0.250
4 Ru 0.750 0.750 0.750